Pr5Tm3Se8 PBE relaxed; density of states at the Fermi level = 0.522 states/eV/atom; symmetry = R-3m, No. 166; total magnetization = 0.0 μB/f.u.; formation energy (no corrections) = -1.774 eV/atom
1.0
-4.896 -0.775 6.593
2.761 -3.838 6.759
1.670 4.552 6.936
Pr Se Tm
5 8 3
Direct
0.500 0.500 0.000
0.500 0.500 0.500
0.000 0.500 0.000
0.500 0.000 0.000
0.000 0.000 0.000
0.750 0.750 0.267
0.233 0.750 0.267
0.758 0.758 0.726
0.250 0.767 0.733
0.750 0.233 0.267
0.242 0.242 0.274
0.250 0.250 0.733
0.767 0.250 0.733
0.000 0.500 0.500
0.500 0.000 0.500
0.000 0.000 0.500

=====

Pr4TmSe5 PBE relaxed; density of states at the Fermi level = 0.490 states/eV/atom; symmetry = I4/mmm, No. 139; total magnetization = 0.0 μB/f.u.; formation energy (no corrections) = -1.794 eV/atom
1.0
-3.025 -2.216 -1.912
1.076 -3.399 2.238
-8.734 6.801 10.569
Se Pr Tm
5 4 1
Direct
0.094 0.094 0.187
0.297 0.297 0.593
0.500 0.500 0.000
0.906 0.906 0.813
0.703 0.703 0.407
0.806 0.806 0.613
0.194 0.194 0.387
0.602 0.602 0.205
0.398 0.398 0.795
0.000 0.000 0.000

=====

Pr3Tm2Se6 PBE relaxed; density of states at the Fermi level = 0.422 states/eV/atom; symmetry = R-3m, No. 166; total magnetization = 0.0 μB/f.u.; formation energy (no corrections) = -1.810 eV/atom
1.0
4.159 0.000 0.000
2.079 3.602 0.000
2.079 1.201 20.995
Se Tm Pr
6 2 3
Direct
0.362 0.362 0.914
0.087 0.087 0.740
0.803 0.803 0.592
0.638 0.638 0.086
0.913 0.913 0.260
0.197 0.197 0.408
0.448 0.448 0.655
0.552 0.552 0.345
0.000 0.000 0.000
0.723 0.723 0.831
0.277 0.277 0.169

=====

Pr2TmSe4 PBE relaxed; density of states at the Fermi level = 0.355 states/eV/atom; symmetry = P2_1/m, No. 11; total magnetization = 0.0 μB/f.u.; formation energy (no corrections) = -1.656 eV/atom
1.0
-4.555 0.536 6.021
-5.529 -2.596 -3.951
3.236 -7.455 0.371
Se Pr Tm
8 4 2
Direct
0.493 0.001 0.251
0.507 0.501 0.749
0.985 0.750 0.374
0.978 0.750 0.865
0.507 0.999 0.749
0.015 0.250 0.626
0.022 0.250 0.135
0.493 0.499 0.251
0.688 0.750 0.542
0.321 0.250 0.952
0.679 0.750 0.048
0.312 0.250 0.458
0.798 0.250 0.825
0.202 0.750 0.175

=====

Pr2Tm3Se6 PBE relaxed; density of states at the Fermi level = 0.410 states/eV/atom; symmetry = C2/m, No. 12; total magnetization = 0.0 μB/f.u.; formation energy (no corrections) = -1.846 eV/atom
1.0
-4.298 4.962 -2.701
-5.387 2.499 3.837
2.607 6.508 1.605
Pr Se Tm
2 6 3
Direct
0.165 0.670 0.500
0.835 0.330 0.500
0.412 0.674 0.766
0.737 0.000 0.763
0.915 0.674 0.234
0.085 0.326 0.766
0.588 0.326 0.234
0.263 0.000 0.237
0.334 0.333 0.000
0.000 0.000 0.000
0.666 0.667 0.000

=====

Pr4TmSe7 PBE relaxed; density of states at the Fermi level = 0.121 states/eV/atom; symmetry = Cm, No. 8; total magnetization = 0.0 μB/f.u.; formation energy (no corrections) = -1.876 eV/atom
1.0
4.105 0.000 0.000
-2.052 6.680 -1.786
0.000 -0.026 12.495
Se Pr Tm
7 4 1
Direct
0.337 0.674 0.949
0.270 0.540 0.648
0.661 0.322 0.050
0.493 0.986 0.505
0.745 0.489 0.359
0.962 0.923 0.215
0.036 0.071 0.776
0.698 0.397 0.806
0.112 0.224 0.427
0.999 0.998 0.996
0.301 0.603 0.194
0.887 0.773 0.577